No. 1
Below is CaTa2Te after structural relaxation, with properties calculated at the GGA-PBE level.

Cell: 5.6795 5.6795 5.6795 Å, 142.20 127.08 66.85°
Closest atoms and distances in Å follow each position.
Positions (direct):
Ca1 0.2429 0.7429 0.5000  8 Ta 3.10-3.39, 4 Te 3.15-3.34
Te1 0.5127 0.5127 0.0000  6 Ta 3.01-3.14, 4 Ca 3.15-3.34
Ta1 0.9802 0.9802 0.0000  2 Ta 2.75
Ta2 0.7641 0.2641 0.5000  2 Ta 2.75, 2 Te 3.01

Output
Density (Mg/m³): 9.96
SG: Imm2, No. 44
Formation energy (no corrections) (meV/atom): 398


No. 2
Below is CaTa4Te8 after structural relaxation, with properties calculated at the GGA-PBE level.

Cell: 7.4339 7.4339 9.2553 Å, 90.00 113.68 120.00°
Closest atoms and distances in Å follow each position.
Positions (direct):
Ca1 0.0000 0.5000 0.5000  6 Te 3.14
Ta1 0.0000 0.0000 0.0000  6 Te 2.80
Ta2 0.0000 0.5000 0.0000  6 Te 2.82
Ta3 0.5000 0.5000 0.0000  6 Te 2.82
Ta4 0.5000 0.0000 0.0000  6 Te 2.82
Te1 0.4817 0.7409 0.2226  3 Ta 2.82
Te2 0.5183 0.2591 0.7774  3 Ta 2.82
Te3 0.4782 0.2391 0.2221  3 Ta 2.80-2.82
Te4 0.0170 0.2561 0.7779  3 Ta 2.80-2.82
Te5 0.5218 0.7609 0.7779  3 Ta 2.80-2.82
Te6 0.0170 0.7609 0.7779  3 Ta 2.80-2.82
Te7 0.9830 0.2391 0.2221  3 Ta 2.80-2.82
Te8 0.9830 0.7439 0.2221  3 Ta 2.80-2.82

Output
Density (Mg/m³): 7.55
SG: R-3m, No. 166
Formation energy (no corrections) (meV/atom): -404


No. 3
Below is CaTa2Te after structural relaxation, with properties calculated at the GGA-PBE level.

Cell: 9.9467 9.9467 9.9467 Å, 18.97 18.97 18.97°
Closest atoms and distances in Å follow each position.
Positions (direct):
Ca1 0.7500 0.7500 0.7500  6 Ca 3.28, 6 Ta 3.33
Te1 0.2500 0.2500 0.2500  6 Ta 2.86
Ta1 0.9897 0.9897 0.9897  3 Te 2.86
Ta2 0.5103 0.5103 0.5103  3 Te 2.86

Output
Density (Mg/m³): 9.68
SG: R-3m, No. 166
Formation energy (no corrections) (meV/atom): 579